Entry 1:
A relaxed structure of SrCaZn2Ga2. Source: Alexandria via LeMat-Bulk, functional GGA-PBE.

Structure (CIF):
```
data_SrCaZn2Ga2
_space_group_name_H-M_alt 'P -3 m 1'
_space_group_IT_number 164
_space_group_name_Hall '-P 3 2"'
_cell_length_a 4.5807
_cell_length_b 4.5807
_cell_length_c 7.6745
_cell_angle_alpha 90.00
_cell_angle_beta 90.00
_cell_angle_gamma 120.00
loop_
_atom_site_label
_atom_site_fract_x
_atom_site_fract_y
_atom_site_fract_z
Sr1 0.0000 0.0000 0.0000
Ca1 0.0000 0.0000 0.5000
Zn1 0.3333 0.6667 0.7103
Ga1 0.3333 0.6667 0.2865
```

---

Entry 2:
A relaxed structure of Sr2CaZn4Ga3. Source: Alexandria via LeMat-Bulk, functional GGA-PBE.

Structure (CIF):
```
data_Sr2CaZn4Ga3
_space_group_name_H-M_alt 'P -4 m 2'
_space_group_IT_number 115
_space_group_name_Hall 'P -4 -2'
_cell_length_a 4.465
_cell_length_b 4.465
_cell_length_c 11.689
_cell_angle_alpha 90.00
_cell_angle_beta 90.00
_cell_angle_gamma 90.00
loop_
_atom_site_label
_atom_site_fract_x
_atom_site_fract_y
_atom_site_fract_z
Sr1 0.000 0.500 0.220
Ca1 0.000 0.000 0.500
Zn1 0.000 0.000 0.000
Zn2 0.000 0.500 0.662
Zn3 0.500 0.500 0.000
Ga1 0.000 0.500 0.880
Ga2 0.500 0.500 0.500
```

---

Number 1: energy of formation from the pure elements -0.402 eV per atom. Number 2: energy of formation from the pure elements -0.297 eV per atom.